BaScSb2 | GGA-PBE | optimized geometry

Structure (CIF):
```
data_BaScSb2
_chemical_formula_sum 'Ba2 Sc2 Sb4'
_cell_length_a 4.932
_cell_length_b 5.733
_cell_length_c 8.532
_cell_angle_alpha 90.00
_cell_angle_beta 90.00
_cell_angle_gamma 90.00
_symmetry_space_group_name_H-M 'P 1'
_symmetry_Int_Tables_number 1
loop_
_symmetry_equiv_pos_as_xyz
'x,y,z'
loop_
_atom_site_label
_atom_site_fract_x
_atom_site_fract_y
_atom_site_fract_z
Ba1 0.000 0.000 0.000
Ba2 0.500 0.500 0.000
Sc1 0.000 0.000 0.500
Sc2 0.500 0.500 0.500
Sb1 0.000 0.500 0.294
Sb2 0.000 0.500 0.706
Sb3 0.500 0.000 0.294
Sb4 0.500 0.000 0.706
```

The total magnetization is 0.0 μB per cell. The value obtained for the total energy is -4.8524 eV per atom. As for the space group: Cmmm. The relative energy among the computed polymorphs is 116 meV/atom. The mass density is 5.862 g/cm³.

---

BaScSb2 | GGA-PBE | optimized geometry

Structure (CIF):
```
data_BaScSb2
_chemical_formula_sum 'Ba2 Sc2 Sb4'
_cell_length_a 4.866
_cell_length_b 6.502
_cell_length_c 8.280
_cell_angle_alpha 90.00
_cell_angle_beta 90.00
_cell_angle_gamma 90.00
_symmetry_space_group_name_H-M 'P 1'
_symmetry_Int_Tables_number 1
loop_
_symmetry_equiv_pos_as_xyz
'x,y,z'
loop_
_atom_site_label
_atom_site_fract_x
_atom_site_fract_y
_atom_site_fract_z
Ba1 0.000 0.000 0.000
Ba2 0.500 0.500 0.500
Sc1 0.000 0.000 0.500
Sc2 0.500 0.500 0.000
Sb1 0.000 0.500 0.212
Sb2 0.000 0.500 0.788
Sb3 0.500 0.000 0.288
Sb4 0.500 0.000 0.712
```

The total magnetization is 0.0 μB per cell. The value obtained for the total energy is -4.7575 eV per atom. As for the space group: Immm. The relative energy among the computed polymorphs is 211 meV/atom. The mass density is 5.397 g/cm³.

---

Ba3ScSb | GGA-PBE | optimized geometry

Structure (CIF):
```
data_Ba3ScSb
_chemical_formula_sum 'Ba3 Sc1 Sb1'
_cell_length_a 6.655
_cell_length_b 6.655
_cell_length_c 6.655
_cell_angle_alpha 90.00
_cell_angle_beta 90.00
_cell_angle_gamma 90.00
_symmetry_space_group_name_H-M 'P 1'
_symmetry_Int_Tables_number 1
loop_
_symmetry_equiv_pos_as_xyz
'x,y,z'
loop_
_atom_site_label
_atom_site_fract_x
_atom_site_fract_y
_atom_site_fract_z
Ba1 0.000 0.000 0.500
Ba2 0.000 0.500 0.000
Ba3 0.500 0.000 0.000
Sc1 0.500 0.500 0.500
Sb1 0.000 0.000 0.000
```

The total magnetization is 0.0 μB per cell. The value obtained for the total energy is -3.1779 eV per atom. As for the space group: Pm-3m. The relative energy among the computed polymorphs is 0 meV/atom. The mass density is 3.261 g/cm³.

---

BaSc2Sb | GGA-PBE | optimized geometry

Structure (CIF):
```
data_BaSc2Sb
_chemical_formula_sum 'Ba2 Sc4 Sb2'
_cell_length_a 6.890
_cell_length_b 11.265
_cell_length_c 3.466
_cell_angle_alpha 90.00
_cell_angle_beta 118.76
_cell_angle_gamma 90.00
_symmetry_space_group_name_H-M 'P 1'
_symmetry_Int_Tables_number 1
loop_
_symmetry_equiv_pos_as_xyz
'x,y,z'
loop_
_atom_site_label
_atom_site_fract_x
_atom_site_fract_y
_atom_site_fract_z
Ba1 0.000 0.000 0.000
Ba2 0.500 0.500 0.000
Sc1 0.250 0.250 0.500
Sc2 0.250 0.750 0.500
Sc3 0.750 0.250 0.500
Sc4 0.750 0.750 0.500
Sb1 0.000 0.500 0.000
Sb2 0.500 0.000 0.000
```

The total magnetization is 0.0 μB per cell. The value obtained for the total energy is -4.7415 eV per atom. As for the space group: C2/m. The mass density is 4.915 g/cm³.

---

BaSc2Sb | GGA-PBE | optimized geometry

Structure (CIF):
```
data_BaSc2Sb
_chemical_formula_sum 'Ba1 Sc2 Sb1'
_cell_length_a 4.266
_cell_length_b 4.579
_cell_length_c 7.304
_cell_angle_alpha 90.00
_cell_angle_beta 106.92
_cell_angle_gamma 90.00
_symmetry_space_group_name_H-M 'P 1'
_symmetry_Int_Tables_number 1
loop_
_symmetry_equiv_pos_as_xyz
'x,y,z'
loop_
_atom_site_label
_atom_site_fract_x
_atom_site_fract_y
_atom_site_fract_z
Ba1 0.000 0.000 0.000
Sc1 0.274 0.500 0.550
Sc2 0.740 0.000 0.482
Sb1 0.617 0.500 0.234
```

The total magnetization is 1.0 μB per cell. The value obtained for the total energy is -5.0037 eV per atom. As for the space group: Pm. The mass density is 4.245 g/cm³.

---

BaSc4Sb | GGA-PBE | optimized geometry

Structure (CIF):
```
data_BaSc4Sb
_chemical_formula_sum 'Ba1 Sc4 Sb1'
_cell_length_a 6.273
_cell_length_b 6.273
_cell_length_c 6.273
_cell_angle_alpha 60.00
_cell_angle_beta 60.00
_cell_angle_gamma 60.00
_symmetry_space_group_name_H-M 'P 1'
_symmetry_Int_Tables_number 1
loop_
_symmetry_equiv_pos_as_xyz
'x,y,z'
loop_
_atom_site_label
_atom_site_fract_x
_atom_site_fract_y
_atom_site_fract_z
Ba1 0.000 0.000 0.000
Sc1 0.375 0.375 0.375
Sc2 0.375 0.375 0.875
Sc3 0.375 0.875 0.375
Sc4 0.875 0.375 0.375
Sb1 0.750 0.750 0.750
```

The total magnetization is 2.1 μB per cell. The value obtained for the total energy is -5.0434 eV per atom. As for the space group: F-43m. The mass density is 4.176 g/cm³.